A plane-wave DFT calculation with GGA-PBE was carried out for an optimized crystal structure of Sn3P.

a = 4.187 Å, b = 4.187 Å, c = 11.778 Å
α = 90.00°, β = 90.00°, γ = 90.00°
Element x y z (fractional)
Sn (0.000, 0.000, 0.000)
Sn (0.000, 0.000, 0.270)
Sn (0.000, 0.000, 0.730)
Sn (0.500, 0.500, 0.230)
Sn (0.500, 0.500, 0.500)
Sn (0.500, 0.500, 0.770)
P (0.000, 0.000, 0.500)
P (0.500, 0.500, 0.000)

Properties
Energy (eV/f.u.): -17.0
Energy of formation (meV/atom): 114
ΔE to the lowest computed polymorph (meV per atom): 25
V (Å³ per atom): 25.81